i:
# Ho2Zr3Ga4, relaxed, DFT GGA-PBE
# size of the total moment	1.2	Bohr magnetons per cell
# N(E_F)	10.0	states/eV/f.u.
data_Ho2Zr3Ga4
_symmetry_space_group_name_H-M 'P 1'
_symmetry_Int_Tables_number 1
_cell_length_a 7.5191
_cell_length_b 7.5489
_cell_length_c 7.2376
_cell_angle_alpha 90.00
_cell_angle_beta 107.85
_cell_angle_gamma 90.00
loop_
_symmetry_equiv_pos_as_xyz
'x,y,z'
loop_
_atom_site_label
_atom_site_fract_x
_atom_site_fract_y
_atom_site_fract_z
_atom_site_occupancy
Ho1 0.1910 0.1732 0.0702 1
Ho2 0.1910 0.3268 0.5702 1
Ho3 0.8090 0.6732 0.4298 1
Ho4 0.8090 0.8268 0.9298 1
Zr1 0.2480 0.6800 0.2480 1
Zr2 0.2480 0.8200 0.7480 1
Zr3 0.5000 0.0000 0.5000 1
Zr4 0.5000 0.5000 0.0000 1
Zr5 0.7520 0.1800 0.2520 1
Zr6 0.7520 0.3200 0.7520 1
Ga1 0.0802 0.5355 0.8635 1
Ga2 0.0802 0.9645 0.3635 1
Ga3 0.4926 0.1239 0.8707 1
Ga4 0.4926 0.3761 0.3707 1
Ga5 0.5074 0.6239 0.6293 1
Ga6 0.5074 0.8761 0.1293 1
Ga7 0.9198 0.0355 0.6365 1
Ga8 0.9198 0.4645 0.1365 1

ii:
# Ho2Zr3Ga4, relaxed, DFT GGA-PBE
# size of the total moment	0.0	Bohr magnetons per cell
# N(E_F)	7.9	states/eV/f.u.
data_Ho2Zr3Ga4
_symmetry_space_group_name_H-M 'P 1'
_symmetry_Int_Tables_number 1
_cell_length_a 8.3702
_cell_length_b 8.3702
_cell_length_c 8.1905
_cell_angle_alpha 90.00
_cell_angle_beta 90.00
_cell_angle_gamma 135.93
loop_
_symmetry_equiv_pos_as_xyz
'x,y,z'
loop_
_atom_site_label
_atom_site_fract_x
_atom_site_fract_y
_atom_site_fract_z
_atom_site_occupancy
Ho1 0.1128 0.8872 0.9124 1
Ho2 0.3872 0.6128 0.4124 1
Ho3 0.6128 0.3872 0.5876 1
Ho4 0.8872 0.1128 0.0876 1
Zr1 0.0000 0.0000 0.5000 1
Zr2 0.0429 0.4571 0.7500 1
Zr3 0.4571 0.0429 0.2500 1
Zr4 0.5000 0.5000 0.0000 1
Zr5 0.5429 0.9571 0.7500 1
Zr6 0.9571 0.5429 0.2500 1
Ga1 0.1827 0.8173 0.5539 1
Ga2 0.2189 0.2811 0.7500 1
Ga3 0.2811 0.2189 0.2500 1
Ga4 0.3173 0.6827 0.0539 1
Ga5 0.6827 0.3173 0.9461 1
Ga6 0.7189 0.7811 0.7500 1
Ga7 0.7811 0.7189 0.2500 1
Ga8 0.8173 0.1827 0.4461 1

Stability summary - winner: i; margin: 161 meV per atom.

i:
# GaI3, relaxed, DFT GGA-PBE
# size of the total moment	0.0	Bohr magnetons per cell
# N(E_F)	0.0	states/eV/f.u.
data_GaI3
_symmetry_space_group_name_H-M 'P 1'
_symmetry_Int_Tables_number 1
_cell_length_a 8.5432
_cell_length_b 8.5432
_cell_length_c 7.4378
_cell_angle_alpha 90.00
_cell_angle_beta 90.00
_cell_angle_gamma 100.22
loop_
_symmetry_equiv_pos_as_xyz
'x,y,z'
loop_
_atom_site_label
_atom_site_fract_x
_atom_site_fract_y
_atom_site_fract_z
_atom_site_occupancy
Ga1 0.2100 0.7900 0.7500 1
Ga2 0.7900 0.2100 0.2500 1
I1 0.0812 0.3119 0.2500 1
I2 0.3119 0.0812 0.7500 1
I3 0.4006 0.5994 0.7500 1
I4 0.5994 0.4006 0.2500 1
I5 0.6881 0.9188 0.2500 1
I6 0.9188 0.6881 0.7500 1

ii:
# GaI3, relaxed, DFT GGA-PBE
# size of the total moment	0.0	Bohr magnetons per cell
# N(E_F)	0.0	states/eV/f.u.
data_GaI3
_symmetry_space_group_name_H-M 'P 1'
_symmetry_Int_Tables_number 1
_cell_length_a 10.2118
_cell_length_b 6.7778
_cell_length_c 12.3038
_cell_angle_alpha 90.00
_cell_angle_beta 108.33
_cell_angle_gamma 90.00
loop_
_symmetry_equiv_pos_as_xyz
'x,y,z'
loop_
_atom_site_label
_atom_site_fract_x
_atom_site_fract_y
_atom_site_fract_z
_atom_site_occupancy
Ga1 0.1899 0.0093 0.0486 1
Ga2 0.1899 0.4907 0.5486 1
Ga3 0.8101 0.5093 0.4514 1
Ga4 0.8101 0.9907 0.9514 1
I1 0.0043 0.7100 0.3879 1
I2 0.0043 0.7900 0.8879 1
I3 0.3130 0.2381 0.9523 1
I4 0.3130 0.2619 0.4523 1
I5 0.3269 0.7069 0.7110 1
I6 0.3269 0.7931 0.2110 1
I7 0.6731 0.2069 0.7890 1
I8 0.6731 0.2931 0.2890 1
I9 0.6870 0.7381 0.5477 1
I10 0.6870 0.7619 0.0477 1
I11 0.9957 0.2100 0.1121 1
I12 0.9957 0.2900 0.6121 1

iii:
# GaI3, relaxed, DFT GGA-PBE
# size of the total moment	0.0	Bohr magnetons per cell
# N(E_F)	0.7	states/eV/f.u.
data_GaI3
_symmetry_space_group_name_H-M 'P 1'
_symmetry_Int_Tables_number 1
_cell_length_a 7.4905
_cell_length_b 7.4905
_cell_length_c 7.4905
_cell_angle_alpha 111.78
_cell_angle_beta 111.78
_cell_angle_gamma 104.94
loop_
_symmetry_equiv_pos_as_xyz
'x,y,z'
loop_
_atom_site_label
_atom_site_fract_x
_atom_site_fract_y
_atom_site_fract_z
_atom_site_occupancy
Ga1 0.0000 0.0000 0.0000 1
Ga2 0.7500 0.2500 0.5000 1
I1 0.0397 0.6250 0.9147 1
I2 0.2500 0.7500 0.5000 1
I3 0.3750 0.2897 0.4147 1
I4 0.5000 0.5000 0.0000 1
I5 0.7103 0.1250 0.0853 1
I6 0.8750 0.9603 0.5853 1

iv:
# GaI3, relaxed, DFT GGA-PBE
# size of the total moment	1.5	Bohr magnetons per cell
# N(E_F)	5.2	states/eV/f.u.
data_GaI3
_symmetry_space_group_name_H-M 'P 1'
_symmetry_Int_Tables_number 1
_cell_length_a 5.8570
_cell_length_b 5.8570
_cell_length_c 5.8570
_cell_angle_alpha 60.00
_cell_angle_beta 60.00
_cell_angle_gamma 60.00
loop_
_symmetry_equiv_pos_as_xyz
'x,y,z'
loop_
_atom_site_label
_atom_site_fract_x
_atom_site_fract_y
_atom_site_fract_z
_atom_site_occupancy
Ga1 0.0000 0.0000 0.0000 1
I1 0.2500 0.2500 0.2500 1
I2 0.5000 0.5000 0.5000 1
I3 0.7500 0.7500 0.7500 1

Stability summary - winner: ii; margin: 73 meV per atom.

i:
# In2Ga2I, relaxed, DFT GGA-PBE
# size of the total moment	0.0	Bohr magnetons per cell
# N(E_F)	2.3	states/eV/f.u.
data_In2Ga2I
_symmetry_space_group_name_H-M 'P 1'
_symmetry_Int_Tables_number 1
_cell_length_a 8.6816
_cell_length_b 8.6816
_cell_length_c 3.7373
_cell_angle_alpha 90.00
_cell_angle_beta 90.00
_cell_angle_gamma 90.00
loop_
_symmetry_equiv_pos_as_xyz
'x,y,z'
loop_
_atom_site_label
_atom_site_fract_x
_atom_site_fract_y
_atom_site_fract_z
_atom_site_occupancy
In1 0.1831 0.3169 0.0000 1
In2 0.3169 0.8169 0.0000 1
In3 0.6831 0.1831 0.0000 1
In4 0.8169 0.6831 0.0000 1
Ga1 0.1121 0.6121 0.5000 1
Ga2 0.3879 0.1121 0.5000 1
Ga3 0.6121 0.8879 0.5000 1
Ga4 0.8879 0.3879 0.5000 1
I1 0.0000 0.0000 0.0000 1
I2 0.5000 0.5000 0.0000 1

ii:
# In2Ga2I, relaxed, DFT GGA-PBE
# size of the total moment	0.0	Bohr magnetons per cell
# N(E_F)	2.4	states/eV/f.u.
data_In2Ga2I
_symmetry_space_group_name_H-M 'P 1'
_symmetry_Int_Tables_number 1
_cell_length_a 8.4579
_cell_length_b 8.4579
_cell_length_c 3.8177
_cell_angle_alpha 90.00
_cell_angle_beta 90.00
_cell_angle_gamma 90.00
loop_
_symmetry_equiv_pos_as_xyz
'x,y,z'
loop_
_atom_site_label
_atom_site_fract_x
_atom_site_fract_y
_atom_site_fract_z
_atom_site_occupancy
In1 0.1893 0.3107 0.0000 1
In2 0.3107 0.8107 0.0000 1
In3 0.6893 0.1893 0.0000 1
In4 0.8107 0.6893 0.0000 1
Ga1 0.1138 0.6138 0.5000 1
Ga2 0.3862 0.1138 0.5000 1
Ga3 0.6138 0.8862 0.5000 1
Ga4 0.8862 0.3862 0.5000 1
I1 0.0000 0.0000 0.5000 1
I2 0.5000 0.5000 0.5000 1

iii:
# In2Ga2I, relaxed, DFT GGA-PBE
# size of the total moment	0.0	Bohr magnetons per cell
# N(E_F)	3.0	states/eV/f.u.
data_In2Ga2I
_symmetry_space_group_name_H-M 'P 1'
_symmetry_Int_Tables_number 1
_cell_length_a 9.0462
_cell_length_b 9.0462
_cell_length_c 9.0462
_cell_angle_alpha 154.35
_cell_angle_beta 154.35
_cell_angle_gamma 36.59
loop_
_symmetry_equiv_pos_as_xyz
'x,y,z'
loop_
_atom_site_label
_atom_site_fract_x
_atom_site_fract_y
_atom_site_fract_z
_atom_site_occupancy
In1 0.1162 0.1162 0.0000 1
In2 0.8838 0.8838 0.0000 1
Ga1 0.2500 0.7500 0.5000 1
Ga2 0.7500 0.2500 0.5000 1
I1 0.5000 0.5000 0.0000 1

Stability summary - winner: ii; margin: 11 meV per atom.

i:
# In2GaI, relaxed, DFT GGA-PBE
# size of the total moment	0.0	Bohr magnetons per cell
# N(E_F)	2.7	states/eV/f.u.
data_In2GaI
_symmetry_space_group_name_H-M 'P 1'
_symmetry_Int_Tables_number 1
_cell_length_a 5.5352
_cell_length_b 5.5352
_cell_length_c 5.5352
_cell_angle_alpha 60.00
_cell_angle_beta 60.00
_cell_angle_gamma 60.00
loop_
_symmetry_equiv_pos_as_xyz
'x,y,z'
loop_
_atom_site_label
_atom_site_fract_x
_atom_site_fract_y
_atom_site_fract_z
_atom_site_occupancy
In1 0.2500 0.2500 0.2500 1
In2 0.7500 0.7500 0.7500 1
Ga1 0.0000 0.0000 0.0000 1
I1 0.5000 0.5000 0.5000 1

ii:
# In2GaI, relaxed, DFT GGA-PBE
# size of the total moment	0.0	Bohr magnetons per cell
# N(E_F)	1.6	states/eV/f.u.
data_In2GaI
_symmetry_space_group_name_H-M 'P 1'
_symmetry_Int_Tables_number 1
_cell_length_a 8.7697
_cell_length_b 8.7697
_cell_length_c 8.7697
_cell_angle_alpha 29.32
_cell_angle_beta 29.32
_cell_angle_gamma 29.32
loop_
_symmetry_equiv_pos_as_xyz
'x,y,z'
loop_
_atom_site_label
_atom_site_fract_x
_atom_site_fract_y
_atom_site_fract_z
_atom_site_occupancy
In1 0.1166 0.1166 0.1166 1
In2 0.8834 0.8834 0.8834 1
Ga1 0.5000 0.5000 0.5000 1
I1 0.0000 0.0000 0.0000 1

iii:
# In2GaI, relaxed, DFT GGA-PBE
# size of the total moment	0.0	Bohr magnetons per cell
# N(E_F)	0.1	states/eV/f.u.
data_In2GaI
_symmetry_space_group_name_H-M 'P 1'
_symmetry_Int_Tables_number 1
_cell_length_a 8.3414
_cell_length_b 8.3414
_cell_length_c 8.3414
_cell_angle_alpha 132.62
_cell_angle_beta 132.62
_cell_angle_gamma 69.26
loop_
_symmetry_equiv_pos_as_xyz
'x,y,z'
loop_
_atom_site_label
_atom_site_fract_x
_atom_site_fract_y
_atom_site_fract_z
_atom_site_occupancy
In1 0.0461 0.6250 0.9211 1
In2 0.3750 0.2961 0.4211 1
In3 0.7039 0.1250 0.0789 1
In4 0.8750 0.9539 0.5789 1
Ga1 0.0000 0.0000 0.0000 1
Ga2 0.7500 0.2500 0.5000 1
I1 0.2500 0.7500 0.5000 1
I2 0.5000 0.5000 0.0000 1

Stability summary - winner: iii; margin: 14 meV per atom.

i:
# In2GaI3, relaxed, DFT GGA-PBE
# size of the total moment	0.0	Bohr magnetons per cell
# N(E_F)	0.0	states/eV/f.u.
data_In2GaI3
_symmetry_space_group_name_H-M 'P 1'
_symmetry_Int_Tables_number 1
_cell_length_a 8.4752
_cell_length_b 8.4752
_cell_length_c 8.4752
_cell_angle_alpha 146.83
_cell_angle_beta 132.00
_cell_angle_gamma 59.59
loop_
_symmetry_equiv_pos_as_xyz
'x,y,z'
loop_
_atom_site_label
_atom_site_fract_x
_atom_site_fract_y
_atom_site_fract_z
_atom_site_occupancy
In1 0.1684 0.1684 0.0000 1
In2 0.8316 0.8316 0.0000 1
Ga1 0.5000 0.5000 0.0000 1
I1 0.0000 0.5000 0.5000 1
I2 0.3443 0.8443 0.5000 1
I3 0.6557 0.1557 0.5000 1

ii:
# In2GaI3, relaxed, DFT GGA-PBE
# size of the total moment	0.0	Bohr magnetons per cell
# N(E_F)	0.0	states/eV/f.u.
data_In2GaI3
_symmetry_space_group_name_H-M 'P 1'
_symmetry_Int_Tables_number 1
_cell_length_a 7.6970
_cell_length_b 7.6970
_cell_length_c 8.7565
_cell_angle_alpha 90.00
_cell_angle_beta 90.00
_cell_angle_gamma 68.79
loop_
_symmetry_equiv_pos_as_xyz
'x,y,z'
loop_
_atom_site_label
_atom_site_fract_x
_atom_site_fract_y
_atom_site_fract_z
_atom_site_occupancy
In1 0.0201 0.6825 0.7500 1
In2 0.3175 0.9799 0.7500 1
In3 0.6825 0.0201 0.2500 1
In4 0.9799 0.3175 0.2500 1
Ga1 0.4918 0.5082 0.2500 1
Ga2 0.5082 0.4918 0.7500 1
I1 0.1529 0.8471 0.2500 1
I2 0.3070 0.3070 0.0000 1
I3 0.3070 0.3070 0.5000 1
I4 0.6930 0.6930 0.0000 1
I5 0.6930 0.6930 0.5000 1
I6 0.8471 0.1529 0.7500 1

Stability summary - winner: i; margin: 33 meV per atom.

i:
# In3GaI, relaxed, DFT GGA-PBE
# size of the total moment	0.0	Bohr magnetons per cell
# N(E_F)	2.6	states/eV/f.u.
data_In3GaI
_symmetry_space_group_name_H-M 'P 1'
_symmetry_Int_Tables_number 1
_cell_length_a 5.5173
_cell_length_b 5.5173
_cell_length_c 5.5173
_cell_angle_alpha 90.00
_cell_angle_beta 90.00
_cell_angle_gamma 90.00
loop_
_symmetry_equiv_pos_as_xyz
'x,y,z'
loop_
_atom_site_label
_atom_site_fract_x
_atom_site_fract_y
_atom_site_fract_z
_atom_site_occupancy
In1 0.0000 0.0000 0.5000 1
In2 0.0000 0.5000 0.0000 1
In3 0.5000 0.0000 0.0000 1
Ga1 0.0000 0.0000 0.0000 1
I1 0.5000 0.5000 0.5000 1

ii:
# In3GaI, relaxed, DFT GGA-PBE
# size of the total moment	0.0	Bohr magnetons per cell
# N(E_F)	4.6	states/eV/f.u.
data_In3GaI
_symmetry_space_group_name_H-M 'P 1'
_symmetry_Int_Tables_number 1
_cell_length_a 6.2678
_cell_length_b 6.2678
_cell_length_c 6.2678
_cell_angle_alpha 90.00
_cell_angle_beta 90.00
_cell_angle_gamma 90.00
loop_
_symmetry_equiv_pos_as_xyz
'x,y,z'
loop_
_atom_site_label
_atom_site_fract_x
_atom_site_fract_y
_atom_site_fract_z
_atom_site_occupancy
In1 0.0000 0.0000 0.5000 1
In2 0.0000 0.5000 0.0000 1
In3 0.5000 0.0000 0.0000 1
Ga1 0.5000 0.5000 0.5000 1
I1 0.0000 0.0000 0.0000 1

Stability summary - winner: i; margin: 568 meV per atom.

i:
# In2GaPtI, relaxed, DFT GGA-PBE
# size of the total moment	0.0	Bohr magnetons per cell
# N(E_F)	1.0	states/eV/f.u.
data_In2GaPtI
_symmetry_space_group_name_H-M 'P 1'
_symmetry_Int_Tables_number 1
_cell_length_a 5.3388
_cell_length_b 5.3388
_cell_length_c 4.8955
_cell_angle_alpha 90.00
_cell_angle_beta 90.00
_cell_angle_gamma 90.00
loop_
_symmetry_equiv_pos_as_xyz
'x,y,z'
loop_
_atom_site_label
_atom_site_fract_x
_atom_site_fract_y
_atom_site_fract_z
_atom_site_occupancy
In1 0.0000 0.5000 0.0000 1
In2 0.5000 0.0000 0.0000 1
Ga1 0.0000 0.0000 0.5000 1
Pt1 0.0000 0.0000 0.0000 1
I1 0.5000 0.5000 0.5000 1

ii:
# In2GaPtI, relaxed, DFT GGA-PBE
# size of the total moment	0.0	Bohr magnetons per cell
# N(E_F)	1.3	states/eV/f.u.
data_In2GaPtI
_symmetry_space_group_name_H-M 'P 1'
_symmetry_Int_Tables_number 1
_cell_length_a 5.6331
_cell_length_b 5.6331
_cell_length_c 4.7135
_cell_angle_alpha 90.00
_cell_angle_beta 90.00
_cell_angle_gamma 90.00
loop_
_symmetry_equiv_pos_as_xyz
'x,y,z'
loop_
_atom_site_label
_atom_site_fract_x
_atom_site_fract_y
_atom_site_fract_z
_atom_site_occupancy
In1 0.0000 0.5000 0.0000 1
In2 0.5000 0.0000 0.0000 1
Ga1 0.0000 0.0000 0.0000 1
Pt1 0.0000 0.0000 0.5000 1
I1 0.5000 0.5000 0.5000 1

Stability summary - winner: i; margin: 557 meV per atom.

i:
# InGaSb2I, relaxed, DFT GGA-PBE
# size of the total moment	0.6	Bohr magnetons per cell
# N(E_F)	4.1	states/eV/f.u.
data_InGaSb2I
_symmetry_space_group_name_H-M 'P 1'
_symmetry_Int_Tables_number 1
_cell_length_a 5.6157
_cell_length_b 5.6157
_cell_length_c 6.2279
_cell_angle_alpha 90.00
_cell_angle_beta 90.00
_cell_angle_gamma 90.00
loop_
_symmetry_equiv_pos_as_xyz
'x,y,z'
loop_
_atom_site_label
_atom_site_fract_x
_atom_site_fract_y
_atom_site_fract_z
_atom_site_occupancy
In1 0.0000 0.0000 0.0000 1
Ga1 0.5000 0.5000 0.5000 1
Sb1 0.0000 0.5000 0.0000 1
Sb2 0.5000 0.0000 0.0000 1
I1 0.0000 0.0000 0.5000 1

ii:
# InGaSb2I, relaxed, DFT GGA-PBE
# size of the total moment	0.0	Bohr magnetons per cell
# N(E_F)	3.6	states/eV/f.u.
data_InGaSb2I
_symmetry_space_group_name_H-M 'P 1'
_symmetry_Int_Tables_number 1
_cell_length_a 5.3347
_cell_length_b 5.3347
_cell_length_c 6.0874
_cell_angle_alpha 90.00
_cell_angle_beta 90.00
_cell_angle_gamma 90.00
loop_
_symmetry_equiv_pos_as_xyz
'x,y,z'
loop_
_atom_site_label
_atom_site_fract_x
_atom_site_fract_y
_atom_site_fract_z
_atom_site_occupancy
In1 0.0000 0.0000 0.0000 1
Ga1 0.5000 0.5000 0.5000 1
Sb1 0.0000 0.5000 0.5000 1
Sb2 0.5000 0.0000 0.5000 1
I1 0.5000 0.5000 0.0000 1

Stability summary - winner: ii; margin: 195 meV per atom.